# TbSmEuGd

A geometry-optimized TbSmEuGd structure (PBE, Alexandria).

Calculated values
- Space group: No. 216
- DFT formation energy: 0.153 eV per atom

Lattice parameters (Å, degrees): 5.793 5.793 5.793 60.00 60.00 60.00
Last column: magnetic moment on the atom in μB.
Fractional positions:
Eu: 0.000 0.000 0.000  -6.82
Gd: 0.500 0.500 0.500  7.37
Tb: 0.250 0.250 0.250  0.15
Sm: 0.750 0.750 0.750  0.12